Entry from the Open Quantum Materials Database: a relaxed structure of Ag3SnCl4 (PBE).

Structure (CIF):
```
data_Ag3SnCl4
_cell_length_a 7.248
_cell_length_b 9.105
_cell_length_c 6.679
_cell_angle_alpha 90.00
_cell_angle_beta 90.00
_cell_angle_gamma 90.00
_space_group_name_H-M_alt 'I m m 2'
_space_group_IT_number 44
loop_
_space_group_symop_operation_xyz
'x,y,z'
'-x,-y,z'
'-x,y,z'
'x,-y,z'
'x+1/2,y+1/2,z+1/2'
'-x+1/2,-y+1/2,z+1/2'
'-x+1/2,y+1/2,z+1/2'
'x+1/2,-y+1/2,z+1/2'
loop_
_atom_site_label
_atom_site_fract_x
_atom_site_fract_y
_atom_site_fract_z
Ag1 0.000 0.000 0.000
Ag2 0.000 0.258 0.751
Sn1 0.000 0.500 0.113
Cl1 0.000 0.289 0.367
Cl2 0.237 0.500 0.776
```

Calculated values
Electronic total energy (eV per atom): -2.69